Density functional theory data (PBE-GGA) for a geometry-optimized PrSmCo structure.

Geometry as CIF:
```
data_PrSmCo
_cell_length_a 6.7606
_cell_length_b 6.7606
_cell_length_c 6.7606
_cell_angle_alpha 90.00
_cell_angle_beta 90.00
_cell_angle_gamma 90.00
_symmetry_space_group_name_H-M 'F -4 3 m'
_symmetry_Int_Tables_number 216
_symmetry_space_group_name_Hall 'F -4 2 3'
loop_
_atom_site_label
_atom_site_fract_x
_atom_site_fract_y
_atom_site_fract_z
Pr1 0.0000 0.0000 0.0000
Sm1 0.2500 0.2500 0.7500
Co1 0.0000 0.0000 0.5000
```

Formation energy from the elements   0.733 eV/atom